The following is a DFT calculation (PBE+U) of a relaxed EuMn2O5 crystal.

abc: 5.8433 7.5010 8.6828
angles: 90.00 90.00 90.00
Closest atoms and distances in Å follow each position.
Fractional coordinates of all 32 atoms:
Eu  0.0000  0.1392  0.1719  8 O 2.39-2.55
Eu  0.0000  0.8608  0.8281  8 O 2.39-2.55
Eu  0.0000  0.6392  0.3281  8 O 2.39-2.55
Eu  0.0000  0.3608  0.6719  8 O 2.39-2.55
Mn  0.2543  0.0000  0.5000  6 O 1.93-1.96
Mn  0.7457  0.5000  0.0000  6 O 1.93-1.96
Mn  0.7457  0.0000  0.5000  6 O 1.93-1.96
Mn  0.2543  0.5000  0.0000  6 O 1.93-1.96
Mn  0.5000  0.4096  0.3499  5 O 1.94-2.06
Mn  0.5000  0.5904  0.6501  5 O 1.94-2.06
Mn  0.5000  0.9096  0.1501  5 O 1.94-2.06
Mn  0.5000  0.0904  0.8499  5 O 1.94-2.06
O  0.2799  0.0000  0.0000  2 Mn 1.95
O  0.7201  0.5000  0.5000  2 Mn 1.95
O  0.7201  0.0000  0.0000  2 Mn 1.95
O  0.2799  0.5000  0.5000  2 Mn 1.95
O  0.0000  0.1579  0.4466  2 Mn 1.96
O  0.0000  0.8421  0.5534  2 Mn 1.96
O  0.0000  0.6579  0.0534  2 Mn 1.96
O  0.0000  0.3421  0.9466  2 Mn 1.96
O  0.5000  0.1510  0.4296  3 Mn 1.93-2.06
O  0.5000  0.8490  0.5704  3 Mn 1.93-2.06
O  0.5000  0.6510  0.0704  3 Mn 1.93-2.06
O  0.5000  0.3490  0.9296  3 Mn 1.93-2.06
O  0.2478  0.3970  0.2058  2 Mn 1.94-1.95
O  0.2478  0.6030  0.7942  2 Mn 1.94-1.95
O  0.7522  0.8970  0.2942  2 Mn 1.94-1.95
O  0.7522  0.1030  0.7058  2 Mn 1.94-1.95
O  0.7522  0.6030  0.7942  2 Mn 1.94-1.95
O  0.7522  0.3970  0.2058  2 Mn 1.94-1.95
O  0.2478  0.1030  0.7058  2 Mn 1.94-1.95
O  0.2478  0.8970  0.2942  2 Mn 1.94-1.95

## Properties
DFT total energy	-261.58	eV per cell
volume	11.893	Å³/atom